# 1
GdDyErHg after structural relaxation, computed with GGA-PBE.

Lattice parameters (Å, degrees): 5.405 5.405 5.405 60.00 60.00 60.00
Last column: magnetic moment on the atom in μB.
Fractional coordinates of all 4 atoms:
1 Gd 0.500 0.500 0.500  7.20
2 Dy 0.000 0.000 0.000  0.15
3 Hg 0.250 0.250 0.250  -0.01
4 Er 0.750 0.750 0.750  0.21

Computed properties:
Space-group type: F-43m, No. 216
ρ: 10.23 g cm⁻³
Formation energy: -6.5 kJ/mol of atoms
E: -5.95 eV per atom

---

# 2
AlZnCd2 after structural relaxation, computed with GGA-PBE.

Lattice parameters (Å, degrees): 7.820 7.820 6.232 51.14 51.14 90.00
Fractional coordinates of all 8 atoms:
1 Al 0.500 0.500 0.000
2 Al 0.250 0.750 0.500
3 Cd 0.633 0.125 0.250
4 Cd 0.117 0.625 0.250
5 Cd 0.375 0.367 0.750
6 Cd 0.875 0.883 0.750
7 Zn 0.000 0.000 0.000
8 Zn 0.750 0.250 0.500

Computed properties:
Polymorph energy (0 for the lowest one): 192.0 meV/atom
Space-group type: I-42d, No. 122
ρ: 5.99 g cm⁻³
Formation energy: 24.1 kJ/mol of atoms
E: -1.46 eV per atom

---

# 3
Y3Hg2Ir after structural relaxation, computed with GGA-PBE.

Lattice parameters (Å, degrees): 5.085 8.024 7.413 90.00 90.00 71.39
Fractional coordinates of all 12 atoms:
1 Ir 0.661 0.678 0.000
2 Ir 0.339 0.322 0.000
3 Hg 0.334 0.330 0.500
4 Hg 0.000 0.000 0.500
5 Hg 0.666 0.670 0.500
6 Hg 0.000 0.000 0.000
7 Y 0.500 0.000 0.236
8 Y 0.500 0.000 0.764
9 Y 0.173 0.653 0.773
10 Y 0.827 0.347 0.773
11 Y 0.173 0.653 0.227
12 Y 0.827 0.347 0.227

Computed properties:
Space-group type: P2/m, No. 10
ρ: 9.97 g cm⁻³
Formation energy: -59.9 kJ/mol of atoms
E: -5.43 eV per atom

---

# 4
AlGaPt6 after structural relaxation, computed with GGA-PBE.

Lattice parameters (Å, degrees): 4.658 4.658 7.178 72.30 72.30 71.37
Fractional coordinates of all 8 atoms:
1 Pt 0.465 0.944 0.696
2 Pt 0.535 0.056 0.304
3 Pt 0.651 0.651 0.060
4 Pt 0.349 0.349 0.940
5 Pt 0.944 0.465 0.696
6 Pt 0.056 0.535 0.304
7 Al 0.500 0.500 0.500
8 Ga 0.000 0.000 0.000

Computed properties:
Polymorph energy (0 for the lowest one): 250.0 meV/atom
Space-group type: C2/m, No. 12
ρ: 15.38 g cm⁻³
Formation energy: -31.4 kJ/mol of atoms
E: -5.70 eV per atom

---

# 5
Cs2AsBr6O after structural relaxation, computed with GGA-PBE.

Lattice parameters (Å, degrees): 7.126 7.126 8.057 63.75 63.75 90.00
Fractional coordinates of all 10 atoms:
1 Br 0.790 0.790 0.420
2 Br 0.262 0.262 0.000
3 Br 0.262 0.738 0.000
4 Br 0.210 0.210 0.580
5 Br 0.738 0.262 0.000
6 Br 0.738 0.738 0.000
7 O 0.500 0.500 0.000
8 Cs 0.250 0.750 0.500
9 Cs 0.750 0.250 0.500
10 As 0.000 0.000 0.000

Computed properties:
Space-group type: I4/mmm, No. 139
ρ: 4.35 g cm⁻³
Formation energy (no corrections): -6.99 eV/f.u.
E: -2.83 eV per atom